[1]
ZrCo2Tc | OQMD via LeMat-Bulk | PBE | optimized geometry; energy of formation = 0.11 eV per atom; VASP energy = -8.17 eV/atom; symmetry = F-43m, No. 216
1.0
6.1521 0.0000 0.0000
0.0000 6.1521 0.0000
0.0000 0.0000 6.1521
Zr Co Tc
4 8 4
Direct
0.0000 0.0000 0.0000
0.0000 0.5000 0.5000
0.5000 0.0000 0.5000
0.5000 0.5000 0.0000
0.0000 0.0000 0.5000
0.0000 0.5000 0.0000
0.2500 0.2500 0.2500
0.2500 0.7500 0.7500
0.5000 0.0000 0.0000
0.5000 0.5000 0.5000
0.7500 0.2500 0.7500
0.7500 0.7500 0.2500
0.2500 0.2500 0.7500
0.2500 0.7500 0.2500
0.7500 0.2500 0.2500
0.7500 0.7500 0.7500



[2]
HfAlAgPt | OQMD via LeMat-Bulk | PBE | optimized geometry; VASP energy = -6.09 eV/atom; symmetry = F-43m, No. 216
1.0
6.5062 0.0000 0.0000
0.0000 6.5062 0.0000
0.0000 0.0000 6.5062
Hf Al Ag Pt
4 4 4 4
Direct
0.0000 0.0000 0.0000
0.0000 0.5000 0.5000
0.5000 0.0000 0.5000
0.5000 0.5000 0.0000
0.2500 0.2500 0.2500
0.2500 0.7500 0.7500
0.7500 0.2500 0.7500
0.7500 0.7500 0.2500
0.0000 0.0000 0.5000
0.0000 0.5000 0.0000
0.5000 0.0000 0.0000
0.5000 0.5000 0.5000
0.2500 0.2500 0.7500
0.2500 0.7500 0.2500
0.7500 0.2500 0.2500
0.7500 0.7500 0.7500



[3]
ErRe2 | OQMD via LeMat-Bulk | PBE | optimized geometry; energy of formation = 4.32 eV per atom; VASP energy = -5.48 eV/atom; symmetry = Fd-3m, No. 227
1.0
0.0000 6.2643 6.2643
6.2643 0.0000 6.2643
6.2643 6.2643 0.0000
Er Re
2 4
Direct
0.1250 0.1250 0.1250
0.8750 0.8750 0.8750
0.0000 0.0000 0.0000
0.0000 0.0000 0.5000
0.0000 0.5000 0.0000
0.5000 0.0000 0.0000



[4]
TbBr | OQMD via LeMat-Bulk | PBE | optimized geometry; VASP energy = -3.66 eV/atom; symmetry = F-43m, No. 216
1.0
6.5068 0.0000 0.0000
0.0000 6.5068 0.0000
0.0000 0.0000 6.5068
Tb Br
4 4
Direct
0.0000 0.0000 0.0000
0.0000 0.5000 0.5000
0.5000 0.0000 0.5000
0.5000 0.5000 0.0000
0.2500 0.2500 0.2500
0.2500 0.7500 0.7500
0.7500 0.2500 0.7500
0.7500 0.7500 0.2500



[5]
BaCdSO | OQMD via LeMat-Bulk | PBE | optimized geometry; VASP energy = -4.53 eV/atom; symmetry = Pbca, No. 61
1.0
7.5294 0.0000 0.0000
0.0000 7.6216 0.0000
0.0000 0.0000 13.1334
Ba Cd S O
8 8 8 8
Direct
0.2501 0.0099 0.2491
0.2501 0.4901 0.7491
0.2499 0.5099 0.2491
0.2499 0.9901 0.7491
0.7501 0.0099 0.2509
0.7501 0.4901 0.7509
0.7499 0.5099 0.2509
0.7499 0.9901 0.7509
0.0030 0.2438 0.9535
0.0030 0.2562 0.4535
0.4970 0.7438 0.9535
0.4970 0.7562 0.4535
0.5030 0.2438 0.5465
0.5030 0.2562 0.0465
0.9970 0.7438 0.5465
0.9970 0.7562 0.0465
0.2483 0.0349 0.4996
0.2483 0.4651 0.9996
0.2517 0.5349 0.4996
0.2517 0.9651 0.9996
0.7483 0.0349 0.0004
0.7483 0.4651 0.5004
0.7517 0.5349 0.0004
0.7517 0.9651 0.5004
0.0004 0.2404 0.7847
0.0004 0.2596 0.2847
0.9996 0.7404 0.7153
0.9996 0.7596 0.2153
0.5004 0.2404 0.7153
0.5004 0.2596 0.2153
0.4996 0.7404 0.7847
0.4996 0.7596 0.2847



[6]
Nb4Ni2CN | OQMD via LeMat-Bulk | PBE | optimized geometry; VASP energy = -8.99 eV/atom; symmetry = P-3m1, No. 164
1.0
3.1223 0.0000 0.0000
-1.5612 2.7040 0.0000
0.0000 0.0000 12.8614
Nb Ni C N
4 2 1 1
Direct
0.3333 0.6667 0.0967
0.3333 0.6667 0.4055
0.6667 0.3333 0.5945
0.6667 0.3333 0.9033
0.3333 0.6667 0.7482
0.6667 0.3333 0.2518
0.0000 0.0000 0.0000
0.0000 0.0000 0.5000



[7]
NaTb | OQMD via LeMat-Bulk | PBE | optimized geometry; VASP energy = -1.69 eV/atom; symmetry = P6_3mc, No. 186
1.0
5.1544 0.0000 0.0000
-2.5772 4.4638 0.0000
0.0000 0.0000 6.4292
Na Tb
2 2
Direct
0.3333 0.6667 0.0000
0.6667 0.3333 0.5000
0.3333 0.6667 0.4986
0.6667 0.3333 0.9986



[8]
Ag2PtAu | OQMD via LeMat-Bulk | PBE | optimized geometry; energy of formation = 0.03 eV per atom; VASP energy = -3.72 eV/atom; symmetry = F-43m, No. 216
1.0
6.4969 0.0000 0.0000
0.0000 6.4969 0.0000
0.0000 0.0000 6.4969
Ag Pt Au
8 4 4
Direct
0.0000 0.0000 0.0000
0.0000 0.5000 0.5000
0.2500 0.2500 0.2500
0.2500 0.7500 0.7500
0.5000 0.0000 0.5000
0.5000 0.5000 0.0000
0.7500 0.2500 0.7500
0.7500 0.7500 0.2500
0.0000 0.0000 0.5000
0.0000 0.5000 0.0000
0.5000 0.0000 0.0000
0.5000 0.5000 0.5000
0.2500 0.2500 0.7500
0.2500 0.7500 0.2500
0.7500 0.2500 0.2500
0.7500 0.7500 0.7500



[9]
Be2Tc2Sn | OQMD via LeMat-Bulk | PBE | optimized geometry; VASP energy = -6.60 eV/atom; symmetry = P4/mbm, No. 127
1.0
6.2288 0.0000 0.0000
0.0000 6.2288 0.0000
0.0000 0.0000 3.2571
Be Tc Sn
4 4 2
Direct
0.1157 0.3843 0.0000
0.3843 0.8843 0.0000
0.6157 0.1157 0.0000
0.8843 0.6157 0.0000
0.1732 0.6732 0.5000
0.3268 0.1732 0.5000
0.6732 0.8268 0.5000
0.8268 0.3268 0.5000
0.0000 0.0000 0.0000
0.5000 0.5000 0.0000



[10]
GdScPd | OQMD via LeMat-Bulk | PBE | optimized geometry; energy of formation = 0.22 eV per atom; VASP energy = -5.16 eV/atom; symmetry = F-43m, No. 216
1.0
6.6227 0.0000 0.0000
0.0000 6.6227 0.0000
0.0000 0.0000 6.6227
Gd Sc Pd
4 4 4
Direct
0.0000 0.0000 0.0000
0.0000 0.5000 0.5000
0.5000 0.0000 0.5000
0.5000 0.5000 0.0000
0.2500 0.2500 0.2500
0.2500 0.7500 0.7500
0.7500 0.2500 0.7500
0.7500 0.7500 0.2500
0.2500 0.2500 0.7500
0.2500 0.7500 0.2500
0.7500 0.2500 0.2500
0.7500 0.7500 0.7500



[11]
HoMo6Se8 | OQMD via LeMat-Bulk | PBE | optimized geometry; VASP energy = -7.20 eV/atom; symmetry = R-3, No. 148
1.0
4.7311 2.7315 3.9507
-4.7311 2.7315 3.9507
0.0000 -5.4630 3.9507
Ho Mo Se
1 6 8
Direct
0.0000 0.0000 0.0000
0.2319 0.5587 0.4236
0.4236 0.2319 0.5587
0.4413 0.5764 0.7681
0.5587 0.4236 0.2319
0.5764 0.7681 0.4413
0.7681 0.4413 0.5764
0.1222 0.3688 0.7588
0.2362 0.2362 0.2362
0.2412 0.8778 0.6312
0.3688 0.7588 0.1222
0.6312 0.2412 0.8778
0.7588 0.1222 0.3688
0.7638 0.7638 0.7638
0.8778 0.6312 0.2412



[12]
BaSmPO | OQMD via LeMat-Bulk | PBE | optimized geometry; VASP energy = -5.79 eV/atom; symmetry = P4/nmm, No. 129
1.0
4.5304 0.0000 0.0000
0.0000 4.5304 0.0000
0.0000 0.0000 9.3687
Ba Sm P O
2 2 2 2
Direct
0.2500 0.7500 0.0000
0.7500 0.2500 0.0000
0.2500 0.2500 0.4167
0.7500 0.7500 0.5833
0.2500 0.2500 0.7759
0.7500 0.7500 0.2241
0.2500 0.7500 0.5000
0.7500 0.2500 0.5000